[1]
Entry from Alexandria: crystalline SmZr2Be at its relaxed geometry (PBE).

The formation energy comes out at 0.092 eV/atom. The volume is 21.40 Å³ per atom. The value obtained for the density of states at the Fermi level is 0.90 states/eV/atom. The space group is No. 123.

Unit cell a=3.2227 b=3.2227 c=8.2421 alpha=90.00 beta=90.00 gamma=90.00
Closest atoms and distances in Å follow each position.
Element x y z (fractional)
Be (0.5000, 0.5000, 0.0000)  8 Zr 2.77
Zr (0.0000, 0.0000, 0.8087)  4 Be 2.77
Zr (0.0000, 0.0000, 0.1913)  4 Be 2.77
Sm (0.5000, 0.5000, 0.5000)  4 Sm 3.22, 8 Zr 3.42



[2]
Entry from Alexandria: crystalline Sr2BeSn at its relaxed geometry (PBE).

The formation energy comes out at 0.537 eV/atom. The volume is 37.44 Å³ per atom. The value obtained for the density of states at the Fermi level is 1.19 states/eV/atom. The space group is No. 122. As for the offset from the most stable computed form: 590 meV/atom.

Unit cell a=5.3774 b=5.3774 c=11.0345 alpha=75.90 beta=75.90 gamma=90.00
Closest atoms and distances in Å follow each position.
Element x y z (fractional)
Sr (0.6112, 0.1250, 0.2500)  2 Be 3.18, 2 Sn 3.24
Sr (0.1388, 0.6250, 0.2500)  2 Be 3.18, 2 Sn 3.24
Sr (0.3750, 0.3888, 0.7500)  2 Be 3.18, 2 Sn 3.24
Sr (0.8750, 0.8612, 0.7500)  2 Be 3.18, 2 Sn 3.24
Sn (0.0000, 0.0000, 0.0000)  4 Sr 3.24
Sn (0.7500, 0.2500, 0.5000)  4 Sr 3.24
Be (0.5000, 0.5000, 0.0000)  4 Sr 3.18
Be (0.2500, 0.7500, 0.5000)  4 Sr 3.18



[3]
Entry from Alexandria: crystalline SrBe2Sn2 at its relaxed geometry (PBE).

The formation energy comes out at -0.084 eV/atom. The volume is 21.52 Å³ per atom. The value obtained for the density of states at the Fermi level is 0.10 states/eV/atom. The space group is No. 139.

Unit cell a=4.4392 b=4.4392 c=6.2988 alpha=69.37 beta=69.37 gamma=90.00
Closest atoms and distances in Å follow each position.
Element x y z (fractional)
Sr (0.0000, 0.0000, 0.0000)  8 Sn 3.47, 8 Be 3.52
Sn (0.3655, 0.3655, 0.2690)  4 Be 2.55
Sn (0.6345, 0.6345, 0.7310)  4 Be 2.55
Be (0.7500, 0.2500, 0.5000)  4 Sn 2.55
Be (0.2500, 0.7500, 0.5000)  4 Sn 2.55



[4]
Entry from Alexandria: crystalline SrBeSn3 at its relaxed geometry (PBE).

The formation energy comes out at 1.413 eV/atom. The volume is 45.15 Å³ per atom. The value obtained for the density of states at the Fermi level is 1.44 states/eV/atom. The space group is No. 221. As for the offset from the most stable computed form: 1427 meV/atom.

Unit cell a=6.0889 b=6.0889 c=6.0889 alpha=90.00 beta=90.00 gamma=90.00
Closest atoms and distances in Å follow each position.
Element x y z (fractional)
Sr (0.0000, 0.0000, 0.0000)  6 Sn 3.04
Sn (0.0000, 0.5000, 0.0000)  2 Sr 3.04
Sn (0.0000, 0.0000, 0.5000)  2 Sr 3.04
Sn (0.5000, 0.0000, 0.0000)  2 Sr 3.04
Be (0.5000, 0.5000, 0.5000)  12 Sn 4.31



[5]
Entry from Alexandria: crystalline Sr2BeSn at its relaxed geometry (PBE).

The formation energy comes out at -0.053 eV/atom. The volume is 30.47 Å³ per atom. The value obtained for the density of states at the Fermi level is 0.12 states/eV/atom. The space group is No. 225. As for the offset from the most stable computed form: 0 meV/atom.

Unit cell a=5.5651 b=5.5651 c=5.5651 alpha=60.00 beta=60.00 gamma=60.00
Closest atoms and distances in Å follow each position.
Element x y z (fractional)
Sr (0.2500, 0.2500, 0.2500)  4 Sn 3.41, 4 Be 3.41
Sr (0.7500, 0.7500, 0.7500)  4 Sn 3.41, 4 Be 3.41
Sn (0.5000, 0.5000, 0.5000)  8 Sr 3.41
Be (0.0000, 0.0000, 0.0000)  8 Sr 3.41



[6]
Entry from Alexandria: crystalline SrBe2Sn at its relaxed geometry (PBE).

The formation energy comes out at 0.178 eV/atom. The volume is 23.69 Å³ per atom. The value obtained for the density of states at the Fermi level is 0.22 states/eV/atom. The space group is No. 141.

Unit cell a=4.7801 b=4.7801 c=8.9581 alpha=74.53 beta=74.53 gamma=90.00
Closest atoms and distances in Å follow each position.
Element x y z (fractional)
Sr (0.5000, 0.5000, 0.0000)  4 Sn 3.38, 8 Be 3.38
Sr (0.2500, 0.7500, 0.5000)  4 Sn 3.38, 8 Be 3.38
Sn (0.0000, 0.0000, 0.0000)  4 Be 2.39
Sn (0.7500, 0.2500, 0.5000)  4 Be 2.39
Be (0.8749, 0.1250, 0.2500)  2 Be 2.39, 2 Sn 2.39
Be (0.8751, 0.6250, 0.2500)  2 Be 2.39, 2 Sn 2.39
Be (0.3750, 0.1251, 0.7500)  2 Be 2.39, 2 Sn 2.39
Be (0.8750, 0.1249, 0.7500)  2 Be 2.39, 2 Sn 2.39



[7]
Entry from Alexandria: crystalline SrBeSn3 at its relaxed geometry (PBE).

The formation energy comes out at -0.014 eV/atom. The volume is 26.72 Å³ per atom. The value obtained for the density of states at the Fermi level is 0.57 states/eV/atom. The space group is No. 221. As for the offset from the most stable computed form: 0 meV/atom.

Unit cell a=5.1119 b=5.1119 c=5.1119 alpha=90.00 beta=90.00 gamma=90.00
Closest atoms and distances in Å follow each position.
Element x y z (fractional)
Sr (0.5000, 0.5000, 0.5000)  12 Sn 3.61
Sn (0.0000, 0.5000, 0.0000)  2 Be 2.56
Sn (0.0000, 0.0000, 0.5000)  2 Be 2.56
Sn (0.5000, 0.0000, 0.0000)  2 Be 2.56
Be (0.0000, 0.0000, 0.0000)  6 Sn 2.56



[8]
Entry from Alexandria: crystalline Sr2BeTlSn at its relaxed geometry (PBE).

The formation energy comes out at 0.183 eV/atom. The volume is 35.77 Å³ per atom. The value obtained for the density of states at the Fermi level is 1.05 states/eV/atom. The space group is No. 123.

Unit cell a=6.3291 b=4.4650 c=6.3291 alpha=90.00 beta=90.00 gamma=90.00
Closest atoms and distances in Å follow each position.
Element x y z (fractional)
Sr (0.0000, 0.0000, 0.5000)  2 Tl 3.16
Sr (0.5000, 0.0000, 0.0000)  2 Tl 3.16
Tl (0.0000, 0.0000, 0.0000)  2 Be 2.23
Sn (0.5000, 0.5000, 0.5000)  8 Sr 3.87
Be (0.0000, 0.5000, 0.0000)  2 Tl 2.23



[9]
Entry from Alexandria: crystalline Ta3BeSn at its relaxed geometry (PBE).

The formation energy comes out at 0.415 eV/atom. The volume is 17.73 Å³ per atom. The value obtained for the density of states at the Fermi level is 1.17 states/eV/atom. The space group is No. 221. As for the offset from the most stable computed form: 0 meV/atom.

Unit cell a=4.4587 b=4.4587 c=4.4587 alpha=90.00 beta=90.00 gamma=90.00
Closest atoms and distances in Å follow each position.
Element x y z (fractional)
Be (0.0000, 0.0000, 0.0000)  6 Ta 2.23
Sn (0.5000, 0.5000, 0.5000)  12 Ta 3.15
Ta (0.0000, 0.5000, 0.0000)  2 Be 2.23
Ta (0.0000, 0.0000, 0.5000)  2 Be 2.23
Ta (0.5000, 0.0000, 0.0000)  2 Be 2.23



[10]
Entry from Alexandria: crystalline TaBe2Sn at its relaxed geometry (PBE).

The formation energy comes out at 0.617 eV/atom. The volume is 15.67 Å³ per atom. The value obtained for the density of states at the Fermi level is 0.59 states/eV/atom. The space group is No. 122.

Unit cell a=6.7592 b=6.7592 c=5.5110 alpha=52.18 beta=52.18 gamma=90.00
Closest atoms and distances in Å follow each position.
Element x y z (fractional)
Be (0.6191, 0.1250, 0.2500)  2 Sn 2.46, 2 Ta 2.51, 2 Be 2.74
Be (0.1309, 0.6250, 0.2500)  2 Sn 2.46, 2 Ta 2.51, 2 Be 2.74
Be (0.3750, 0.3809, 0.7500)  2 Sn 2.46, 2 Ta 2.51, 2 Be 2.74
Be (0.8750, 0.8691, 0.7500)  2 Sn 2.46, 2 Ta 2.51, 2 Be 2.74
Sn (0.5000, 0.5000, 0.0000)  4 Be 2.46, 2 Ta 2.74
Sn (0.2500, 0.7500, 0.5000)  4 Be 2.46, 2 Ta 2.74
Ta (0.0000, 0.0000, 0.0000)  4 Be 2.51, 2 Sn 2.74
Ta (0.7500, 0.2500, 0.5000)  4 Be 2.51, 2 Sn 2.74



[11]
Entry from Alexandria: crystalline TaBeSn3 at its relaxed geometry (PBE).

The formation energy comes out at 0.966 eV/atom. The volume is 22.28 Å³ per atom. The value obtained for the density of states at the Fermi level is 1.33 states/eV/atom. The space group is No. 221. As for the offset from the most stable computed form: 67 meV/atom.

Unit cell a=4.8115 b=4.8115 c=4.8115 alpha=90.00 beta=90.00 gamma=90.00
Closest atoms and distances in Å follow each position.
Element x y z (fractional)
Be (0.0000, 0.0000, 0.0000)  6 Sn 2.41
Sn (0.0000, 0.5000, 0.0000)  2 Be 2.41
Sn (0.0000, 0.0000, 0.5000)  2 Be 2.41
Sn (0.5000, 0.0000, 0.0000)  2 Be 2.41
Ta (0.5000, 0.5000, 0.5000)  12 Sn 3.40



[12]
Entry from Alexandria: crystalline TaBe3Sn at its relaxed geometry (PBE).

The formation energy comes out at 1.603 eV/atom. The volume is 16.90 Å³ per atom. The value obtained for the density of states at the Fermi level is 0.75 states/eV/atom. The space group is No. 221. As for the offset from the most stable computed form: 192 meV/atom.

Unit cell a=4.3885 b=4.3885 c=4.3885 alpha=90.00 beta=90.00 gamma=90.00
Closest atoms and distances in Å follow each position.
Element x y z (fractional)
Be (0.0000, 0.5000, 0.0000)  2 Sn 2.19
Be (0.0000, 0.0000, 0.5000)  2 Sn 2.19
Be (0.5000, 0.0000, 0.0000)  2 Sn 2.19
Sn (0.0000, 0.0000, 0.0000)  6 Be 2.19
Ta (0.5000, 0.5000, 0.5000)  12 Be 3.10